Material: ScIn
Method: DFT, PBE
State: optimized geometry

The structure in POSCAR format:
```
ScIn
1.0
4.721 0.000 0.000
2.360 4.088 0.000
2.360 1.363 3.855
In Sc
1 1
Cartesian
0.000 0.000 0.000
7.081 4.088 2.891
```

Output
* energy of formation from the pure elements: 1.58 eV/f.u.
* DOS(E_F): 1.923 states/eV per atom
* electronic total energy: -3.744 eV/atom

Material: Sc3In
Method: DFT, PBE
State: optimized geometry

The structure in POSCAR format:
```
Sc3In
1.0
4.521 0.000 0.000
0.000 4.519 0.000
0.000 0.000 4.522
Sc In
3 1
Cartesian
0.000 0.000 0.377
0.000 2.259 2.638
2.261 2.259 0.377
2.261 0.000 2.638
```

Output
* energy of formation from the pure elements: -1.16 eV/f.u.
* DOS(E_F): 1.260 states/eV per atom
* electronic total energy: -5.722 eV/atom

Material: ScIn
Method: DFT, PBE
State: optimized geometry

The structure in POSCAR format:
```
ScIn
1.0
-0.849 0.873 3.067
-2.941 -12.006 2.605
6.947 -1.210 2.266
Sc In
6 6
Cartesian
1.290 -10.861 5.225
3.518 -1.769 3.252
-0.712 -4.253 2.789
-1.426 -7.167 3.421
1.337 0.130 2.108
3.340 -6.478 4.544
4.696 -4.435 2.562
3.455 -9.503 3.662
-0.248 -9.833 2.731
1.452 -2.895 1.226
6.348 -1.106 2.071
1.404 -6.504 2.240
```

Output
* energy of formation from the pure elements: -0.33 eV/f.u.
* DOS(E_F): 0.764 states/eV per atom
* electronic total energy: -4.699 eV/atom

Material: ScIn
Method: DFT, PBE
State: optimized geometry

The structure in POSCAR format:
```
ScIn
1.0
6.053 -0.012 -0.028
3.033 5.238 0.028
-4.132 -3.328 2.914
Sc In
2 2
Cartesian
4.634 -0.192 0.708
0.320 2.091 2.206
3.203 2.478 0.735
1.751 -0.579 2.179
```

Output
* energy of formation from the pure elements: -0.73 eV/f.u.
* DOS(E_F): 0.823 states/eV per atom
* electronic total energy: -4.901 eV/atom

Material: Sc2In3
Method: DFT, PBE
State: optimized geometry

The structure in POSCAR format:
```
Sc2In3
1.0
2.460 -4.261 0.000
2.460 4.261 0.000
0.000 0.000 6.107
Sc In
2 3
Cartesian
2.460 -1.420 0.927
2.460 1.420 5.180
0.000 0.000 0.000
2.460 -1.420 3.897
2.460 1.420 2.211
```

Output
* energy of formation from the pure elements: -1.23 eV/f.u.
* DOS(E_F): 0.565 states/eV per atom
* electronic total energy: -4.421 eV/atom

Material: Sc5In
Method: DFT, PBE
State: optimized geometry

The structure in POSCAR format:
```
Sc5In
1.0
8.615 0.016 0.000
-7.975 3.256 0.000
0.000 0.000 5.078
In Sc
1 5
Cartesian
-7.955 3.252 0.000
-2.514 2.190 0.000
3.046 1.104 0.000
-0.497 1.796 2.539
4.889 0.743 2.539
-6.111 2.892 2.539
```

Output
* energy of formation from the pure elements: -0.91 eV/f.u.
* DOS(E_F): 1.280 states/eV per atom
* electronic total energy: -5.884 eV/atom

Material: ScIn2
Method: DFT, PBE
State: optimized geometry

The structure in POSCAR format:
```
ScIn2
1.0
3.339 0.000 0.000
-1.669 2.892 0.000
0.000 0.000 7.659
In Sc
2 1
Cartesian
0.000 1.928 5.158
1.669 0.964 2.501
0.000 0.000 0.000
```

Output
* energy of formation from the pure elements: -0.32 eV/f.u.
* DOS(E_F): 1.239 states/eV per atom
* electronic total energy: -4.042 eV/atom

Material: ScIn
Method: DFT, PBE
State: optimized geometry

The structure in POSCAR format:
```
ScIn
1.0
3.350 0.000 0.000
-1.675 2.901 0.000
0.000 0.000 4.943
In Sc
1 1
Cartesian
0.000 0.000 0.000
1.675 0.967 2.472
```

Output
* energy of formation from the pure elements: -0.53 eV/f.u.
* DOS(E_F): 1.120 states/eV per atom
* electronic total energy: -4.798 eV/atom

Material: Sc5In
Method: DFT, PBE
State: optimized geometry

The structure in POSCAR format:
```
Sc5In
1.0
-1.121 1.215 -4.173
0.749 -4.227 -1.432
-7.027 0.489 2.030
Sc In
5 1
Cartesian
-4.572 -2.576 -1.936
-1.788 -2.641 -0.289
-0.186 -1.506 -2.802
-4.490 -1.096 0.887
-2.827 0.054 -1.639
0.000 0.000 0.000
```

Output
* energy of formation from the pure elements: -1.07 eV/f.u.
* DOS(E_F): 1.477 states/eV per atom
* electronic total energy: -5.911 eV/atom

Material: Sc4In
Method: DFT, PBE
State: optimized geometry

The structure in POSCAR format:
```
Sc4In
1.0
-0.027 -4.357 3.092
-0.728 -3.060 -4.318
5.292 -0.444 -0.578
Sc In
4 1
Cartesian
0.000 0.000 0.000
2.632 -2.400 1.257
2.282 -1.752 -2.448
-0.378 -3.708 -0.613
2.268 -3.930 -0.902
```

Output
* energy of formation from the pure elements: 2.67 eV/f.u.
* DOS(E_F): 1.893 states/eV per atom
* electronic total energy: -5.079 eV/atom

Material: ScIn
Method: DFT, PBE
State: optimized geometry

The structure in POSCAR format:
```
ScIn
1.0
-2.643 3.826 -2.169
-4.540 2.374 0.295
-2.039 4.573 1.126
In Sc
1 1
Cartesian
0.000 0.000 0.000
-4.611 5.386 -0.374
```

Output
* energy of formation from the pure elements: -0.59 eV/f.u.
* DOS(E_F): 0.872 states/eV per atom
* electronic total energy: -4.832 eV/atom

Material: Sc8In
Method: DFT, PBE
State: optimized geometry

The structure in POSCAR format:
```
Sc8In
1.0
-5.735 -0.905 -4.372
7.262 0.230 0.159
-0.574 -6.467 3.266
In Sc
1 8
Cartesian
0.000 0.000 0.000
2.889 -0.152 -1.366
-1.361 -0.523 -2.847
2.242 -2.091 1.148
0.826 -2.562 -1.727
-2.115 -2.471 -0.371
0.128 -4.580 0.780
4.447 -4.147 2.277
-4.194 -4.901 -0.735
```

Output
* energy of formation from the pure elements: -0.77 eV/f.u.
* DOS(E_F): 1.853 states/eV per atom
* electronic total energy: -6.017 eV/atom

Repeat the seventh record exactly.
Material: ScIn2
Method: DFT, PBE
State: optimized geometry

The structure in POSCAR format:
```
ScIn2
1.0
3.339 0.000 0.000
-1.669 2.892 0.000
0.000 0.000 7.659
In Sc
2 1
Cartesian
0.000 1.928 5.158
1.669 0.964 2.501
0.000 0.000 0.000
```

Output
* energy of formation from the pure elements: -0.32 eV/f.u.
* DOS(E_F): 1.239 states/eV per atom
* electronic total energy: -4.042 eV/atom